Entry from Alexandria: a geometry-optimized CoPdN2O structure (PBE with a Hubbard U).

Cell: 3.8536 3.8536 4.1489 Å, 90.00 90.00 90.00°
With the nearest neighbours (Å) after each atom.
Atoms (fractional coordinates):
1 Co 0.0000 0.0000 0.0000  4 O 2.72, 8 N 2.83
2 Pd 0.5000 0.5000 0.5000  4 N 1.93, 2 O 2.07
3 N 0.0000 0.5000 0.5000  2 Pd 1.93
4 N 0.5000 0.0000 0.5000  2 Pd 1.93
5 O 0.5000 0.5000 0.0000  2 Pd 2.07

Output
space-group type: P4/mmm
spin magnetization: 3.83 Bohr magnetons per cell
V: 12.322 Å³ per atom
DOS(E_F): 6.17 states/eV per cell
electronic total energy: -4.813 eV per atom

=====

Entry from Alexandria: a geometry-optimized Rb2HfVO6 structure (PBE with a Hubbard U).

Cell: 6.4010 6.4010 5.3999 Å, 90.00 90.00 120.00°
With the nearest neighbours (Å) after each atom.
Atoms (fractional coordinates):
1 Rb 0.3333 0.6667 0.1453  9 O 2.98-3.25
2 Rb 0.6667 0.3333 0.8547  9 O 2.98-3.25
3 Hf 0.0000 0.0000 0.5000  6 O 2.10
4 V 0.0000 0.0000 0.0000  6 O 1.91
5 O 0.1333 0.2666 0.7755  1 V 1.91, 1 Hf 2.10
6 O 0.1333 0.8667 0.7755  1 V 1.91, 1 Hf 2.10
7 O 0.2666 0.1333 0.2245  1 V 1.91, 1 Hf 2.10
8 O 0.7335 0.8667 0.7755  1 V 1.91, 1 Hf 2.10
9 O 0.8667 0.1333 0.2245  1 V 1.91, 1 Hf 2.10
10 O 0.8667 0.7335 0.2245  1 V 1.91, 1 Hf 2.10

Output
space-group type: P-3m1
spin magnetization: 1.06 Bohr magnetons per cell
V: 19.161 Å³ per atom
DOS(E_F): 1.83 states/eV per cell
electronic total energy: -6.938 eV per atom